# Pu8MgRh6

A relaxed Pu8MgRh6 crystal (GGA-PBE, Alexandria via LeMat-Bulk).

## Properties
Uncorrected energy in eV per atom: -10.856
Calculated density in g cm⁻³: 14.97

a = 10.2113 Å, b = 10.2113 Å, c = 10.2113 Å
α = 33.43°, β = 33.43°, γ = 33.43°
Closest atoms and distances in Å follow each position.
Sites, in units of the cell vectors:
Pu 0.0230 0.6897 0.3577  3 Pu 2.38-2.39, 1 Rh 2.52
Pu 0.1964 0.1964 0.1964  6 Rh 2.93-3.23
Pu 0.3103 0.6423 0.9770  3 Pu 2.38-2.39, 1 Rh 2.52
Pu 0.3577 0.0230 0.6897  3 Pu 2.38-2.39, 1 Rh 2.52
Pu 0.6423 0.9770 0.3103  3 Pu 2.38-2.39, 1 Rh 2.52
Pu 0.6897 0.3577 0.0230  3 Pu 2.38-2.39, 1 Rh 2.52
Pu 0.8036 0.8036 0.8036  6 Rh 2.93-3.23
Pu 0.9770 0.3103 0.6423  3 Pu 2.38-2.39, 1 Rh 2.52
Mg 0.5000 0.5000 0.5000  6 Rh 2.63
Rh 0.2182 0.7774 0.7043  1 Pu 2.52, 1 Mg 2.63
Rh 0.2226 0.2957 0.7818  1 Pu 2.52, 1 Mg 2.63
Rh 0.2957 0.7818 0.2226  1 Pu 2.52, 1 Mg 2.63
Rh 0.7043 0.2182 0.7774  1 Pu 2.52, 1 Mg 2.63
Rh 0.7774 0.7043 0.2182  1 Pu 2.52, 1 Mg 2.63
Rh 0.7818 0.2226 0.2957  1 Pu 2.52, 1 Mg 2.63

# BeCr2As

A relaxed BeCr2As crystal (GGA-PBE, Alexandria via LeMat-Bulk).

## Properties
Uncorrected energy in eV per atom: -6.901
ΔE to the lowest computed polymorph in kJ/mol of atoms: 0.0
Calculated density in g cm⁻³: 6.76

a = 2.9946 Å, b = 2.9946 Å, c = 5.1473 Å
α = 90.00°, β = 90.00°, γ = 90.00°
Closest atoms and distances in Å follow each position.
Sites, in units of the cell vectors:
Be 0.0000 0.0000 0.0000  5 Cr 2.40-2.43, 4 As 2.51
Cr 0.0000 0.0000 0.4723  2 Be 2.43-2.72, 4 Cr 2.48, 4 As 2.52
Cr 0.5000 0.5000 0.2198  4 Be 2.40, 2 As 2.48-2.67, 4 Cr 2.48
As 0.5000 0.5000 0.7388  6 Cr 2.48-2.67, 4 Be 2.51

Q: Which energy of formation values were calculated for the entries above? A: -0.1650, 0.0045, in eV per atom.